# 1
Material: TiMnPCl2
Method: DFT, PBE-GGA
State: optimized geometry

Results
E_form (uncorrected) in eV per atom: 0.128
Distance to the lowest polymorph of the same formula in meV/atom: 386

a b c (Å): 4.4918 4.4918 5.0599
angles (deg): 90.00 90.00 90.00
Positions (direct):
Ti: 0.0000 0.0000 0.0000
Mn: 0.5000 0.5000 0.5000
P: 0.5000 0.5000 0.0000
Cl: 0.0000 0.5000 0.5000
Cl: 0.5000 0.0000 0.5000

# 2
Material: MnTlP2Cl
Method: DFT, PBE-GGA
State: optimized geometry

Results
E_form (uncorrected) in eV per atom: 0.007
Distance to the lowest polymorph of the same formula in meV/atom: 0

a b c (Å): 4.3889 4.3889 6.2108
angles (deg): 90.00 90.00 90.00
Positions (direct):
Mn: 0.0000 0.0000 0.0000
Tl: 0.5000 0.5000 0.5000
P: 0.0000 0.5000 0.0000
P: 0.5000 0.0000 0.0000
Cl: 0.0000 0.0000 0.5000

# 3
Material: MnTlP2Cl
Method: DFT, PBE-GGA
State: optimized geometry

Results
E_form (uncorrected) in eV per atom: 1.080
Distance to the lowest polymorph of the same formula in meV/atom: 1072

a b c (Å): 5.1343 5.1343 5.3306
angles (deg): 90.00 90.00 90.00
Positions (direct):
Mn: 0.0000 0.0000 0.0000
Tl: 0.5000 0.5000 0.5000
P: 0.0000 0.5000 0.5000
P: 0.5000 0.0000 0.5000
Cl: 0.5000 0.5000 0.0000

# 4
Material: MnVP2Cl
Method: DFT, PBE-GGA
State: optimized geometry

Results
E_form (uncorrected) in eV per atom: 0.840
Distance to the lowest polymorph of the same formula in meV/atom: 176

a b c (Å): 4.5611 4.5611 4.5909
angles (deg): 90.00 90.00 90.00
Positions (direct):
Mn: 0.0000 0.0000 0.0000
V: 0.5000 0.5000 0.5000
P: 0.0000 0.5000 0.5000
P: 0.5000 0.0000 0.5000
Cl: 0.5000 0.5000 0.0000

# 5
Material: MnVP2Cl
Method: DFT, PBE-GGA
State: optimized geometry

Results
E_form (uncorrected) in eV per atom: 0.664
Distance to the lowest polymorph of the same formula in meV/atom: 0

a b c (Å): 4.4084 4.4084 4.6878
angles (deg): 90.00 90.00 90.00
Positions (direct):
Mn: 0.0000 0.0000 0.0000
V: 0.5000 0.5000 0.5000
P: 0.0000 0.5000 0.0000
P: 0.5000 0.0000 0.0000
Cl: 0.0000 0.0000 0.5000

# 6
Material: MnPWCl2
Method: DFT, PBE-GGA
State: optimized geometry

Results
E_form (uncorrected) in eV per atom: 0.892
Distance to the lowest polymorph of the same formula in meV/atom: 392

a b c (Å): 4.4444 4.4444 5.2494
angles (deg): 90.00 90.00 90.00
Positions (direct):
Mn: 0.0000 0.0000 0.0000
P: 0.0000 0.0000 0.5000
W: 0.5000 0.5000 0.5000
Cl: 0.0000 0.5000 0.0000
Cl: 0.5000 0.0000 0.0000

# 7
Material: MnPWCl2
Method: DFT, PBE-GGA
State: optimized geometry

Results
E_form (uncorrected) in eV per atom: 0.500
Distance to the lowest polymorph of the same formula in meV/atom: 0

a b c (Å): 4.8141 4.8141 4.8205
angles (deg): 90.00 90.00 90.00
Positions (direct):
Mn: 0.0000 0.0000 0.0000
P: 0.5000 0.5000 0.0000
W: 0.5000 0.5000 0.5000
Cl: 0.0000 0.5000 0.5000
Cl: 0.5000 0.0000 0.5000

# 8
Material: YMnPCl2
Method: DFT, PBE-GGA
State: optimized geometry

Results
E_form (uncorrected) in eV per atom: -0.641
Distance to the lowest polymorph of the same formula in meV/atom: 0

a b c (Å): 4.5746 4.5746 5.1222
angles (deg): 90.00 90.00 90.00
Positions (direct):
Y: 0.0000 0.0000 0.0000
Mn: 0.5000 0.5000 0.5000
P: 0.5000 0.5000 0.0000
Cl: 0.0000 0.5000 0.5000
Cl: 0.5000 0.0000 0.5000